Record 1
VASP calculation (PBE-GGA) on a relaxed structure of BaGe2As2.

Cell and atoms, written as POSCAR:
```
BaGe2As2
1.0
-0.461 5.134 -6.382
-8.191 -0.290 0.358
-0.001 2.903 2.335
Ge As Ba
4 4 2
Direct
0.113 0.387 0.000
0.887 0.613 0.000
0.387 0.887 0.000
0.613 0.113 0.000
0.151 0.651 0.500
0.349 0.151 0.500
0.849 0.349 0.500
0.651 0.849 0.500
0.500 0.500 0.000
0.000 0.000 0.000
```

## Properties
Space group: P4/mbm (127)
Formation energy: -113 meV per atom


Record 2
VASP calculation (PBE-GGA) on a relaxed structure of SmDyY2.

Cell and atoms, written as POSCAR:
```
SmDyY2
1.0
5.707 0.000 0.000
2.854 4.943 0.000
2.854 1.648 4.660
Dy Sm Y
1 1 2
Direct
0.000 0.000 0.000
0.500 0.500 0.500
0.750 0.750 0.750
0.250 0.250 0.250
```

## Properties
Space group: Fm-3m (225)
Excess energy over the best structure of this formula in the dataset: 0.118 eV per atom
Formation energy: 129 meV per atom


Record 3
VASP calculation (PBE-GGA) on a relaxed structure of ErScBeHg.

Cell and atoms, written as POSCAR:
```
ErScBeHg
1.0
4.920 0.000 0.000
2.460 4.261 0.000
2.460 1.420 4.017
Be Er Hg Sc
1 1 1 1
Direct
0.750 0.750 0.750
0.500 0.500 0.500
0.250 0.250 0.250
0.000 0.000 0.000
```

## Properties
Space group: F-43m (216)
Formation energy: -132 meV per atom


Record 4
VASP calculation (PBE-GGA) on a relaxed structure of LaZn9Pd2.

Cell and atoms, written as POSCAR:
```
LaZn9Pd2
1.0
-1.944 6.684 -0.267
-7.394 1.337 -3.574
-4.350 2.628 6.588
Zn La Pd
18 2 4
Direct
0.011 0.915 0.671
0.750 0.500 0.500
0.073 0.915 0.329
0.433 0.829 0.415
0.739 0.585 0.829
0.598 0.085 0.329
0.073 0.329 0.915
0.152 0.171 0.415
0.317 0.085 0.671
0.739 0.829 0.585
0.598 0.329 0.085
0.152 0.415 0.171
0.000 0.000 0.000
0.677 0.585 0.171
0.433 0.415 0.829
0.677 0.171 0.585
0.011 0.671 0.915
0.317 0.671 0.085
0.500 0.000 0.000
0.250 0.500 0.500
0.875 0.250 0.750
0.875 0.250 0.250
0.875 0.750 0.250
0.375 0.750 0.750
```

## Properties
Space group: I4_1/amd (141)
Excess energy over the best structure of this formula in the dataset: 0.000 eV per atom
Formation energy: -393 meV per atom


Record 5
VASP calculation (PBE-GGA) on a relaxed structure of Te4MoCl.

Cell and atoms, written as POSCAR:
```
Te4MoCl
1.0
-3.130 -4.832 2.455
-5.359 -1.908 -2.610
-0.224 -5.459 -3.053
Mo Te Cl
1 4 1
Direct
0.000 0.000 0.000
0.875 0.375 0.375
0.375 0.875 0.375
0.375 0.375 0.375
0.375 0.375 0.875
0.750 0.750 0.750
```

## Properties
Energy relative to the elements, uncorrected: 739 meV per atom
Space group: F-43m (216)


Record 6
VASP calculation (PBE-GGA) on a relaxed structure of AcPm2Ag.

Cell and atoms, written as POSCAR:
```
AcPm2Ag
1.0
-2.935 -1.695 -1.740
3.446 -4.345 -1.579
-1.282 -2.791 4.880
Ac Pm Ag
1 2 1
Direct
0.500 0.000 0.000
0.000 0.500 0.000
0.000 0.000 0.500
0.500 0.500 0.500
```

## Properties
Space group: P4/mmm (123)
Excess energy over the best structure of this formula in the dataset: 0.183 eV per atom
Formation energy: 81 meV per atom


Record 7
VASP calculation (PBE-GGA) on a relaxed structure of CsTaAl.

Cell and atoms, written as POSCAR:
```
CsTaAl
1.0
3.523 0.000 0.000
0.000 3.522 0.000
-2.835 0.000 29.569
Cs Al Ta
4 4 4
Direct
0.115 0.500 0.584
0.115 0.000 0.084
0.885 0.500 0.416
0.885 0.000 0.916
0.306 0.000 0.320
0.694 0.000 0.680
0.694 0.500 0.180
0.306 0.500 0.820
0.769 0.500 0.274
0.231 0.500 0.726
0.769 0.000 0.774
0.231 0.000 0.226
```

## Properties
Space group: C2/m (12)
Excess energy over the best structure of this formula in the dataset: 0.000 eV per atom
Formation energy: 217 meV per atom


Record 8
VASP calculation (PBE-GGA) on a relaxed structure of AlWAu2.

Cell and atoms, written as POSCAR:
```
AlWAu2
1.0
4.278 0.000 0.000
0.000 2.888 0.000
0.000 1.502 5.396
Au Al W
2 1 1
Direct
0.000 0.892 0.995
0.000 0.608 0.505
0.500 0.750 0.750
0.500 0.250 0.250
```

## Properties
Space group: P2/m (10)
Formation energy: 189 meV per atom